PmGdGaCu: optimized geometry, GGA-PBE.

Computed properties:
E_form: -37 kJ/mol of atoms

Cell: 7.208 7.208 7.208 Å, 90.00 90.00 90.00°
Space group F-43m (No. 216)
Symmetry-distinct sites (fractional):
Pm1 0.000 0.000 0.000 [4 per cell]
Gd1 0.000 0.000 0.500 [4 per cell]
Ga1 0.250 0.250 0.750 [4 per cell]
Cu1 0.250 0.250 0.250 [4 per cell]


PrGdGaCu: optimized geometry, GGA-PBE.

Computed properties:
E_form: -35 kJ/mol of atoms

Cell: 7.266 7.266 7.266 Å, 90.00 90.00 90.00°
Space group F-43m (No. 216)
Symmetry-distinct sites (fractional):
Pr1 0.000 0.000 0.000 [4 per cell]
Gd1 0.000 0.000 0.500 [4 per cell]
Ga1 0.250 0.250 0.250 [4 per cell]
Cu1 0.250 0.250 0.750 [4 per cell]


GdGaCuRh: optimized geometry, GGA-PBE.

Computed properties:
E_form: -42 kJ/mol of atoms

Cell: 6.539 6.539 6.539 Å, 90.00 90.00 90.00°
Space group F-43m (No. 216)
Symmetry-distinct sites (fractional):
Gd1 0.000 0.000 0.000 [4 per cell]
Ga1 0.000 0.000 0.500 [4 per cell]
Cu1 0.250 0.250 0.750 [4 per cell]
Rh1 0.250 0.250 0.250 [4 per cell]